# 1
RbMoH | PBE | optimized geometry

```
data_RbMoH
_chemical_formula_sum 'Rb2 Mo2 H2'
_symmetry_space_group_name_H-M 'P 1'
_symmetry_Int_Tables_number 1
_cell_length_a 4.114
_cell_length_b 4.114
_cell_length_c 10.944
_cell_angle_alpha 94.93
_cell_angle_beta 98.16
_cell_angle_gamma 111.91
loop_
_symmetry_equiv_pos_as_xyz
'x,y,z'
loop_
_atom_site_label
_atom_site_type_symbol
_atom_site_fract_x
_atom_site_fract_y
_atom_site_fract_z
_atom_site_occupancy
Rb1 Rb 0.000 0.000 0.000 1
Rb2 Rb 0.310 0.247 0.576 1
Mo1 Mo 0.486 0.793 0.288 1
Mo2 Mo 0.825 0.454 0.288 1
H1 H 0.085 0.567 0.156 1
H2 H 0.726 0.180 0.420 1
```

# 2
RbMoH3 | PBE | optimized geometry

```
data_RbMoH3
_chemical_formula_sum 'Rb1 Mo1 H3'
_symmetry_space_group_name_H-M 'P m -3 m'
_symmetry_Int_Tables_number 221
_symmetry_space_group_name_Hall '-P 4 2 3'
_cell_length_a 4.644
_cell_length_b 4.644
_cell_length_c 4.644
_cell_angle_alpha 90.00
_cell_angle_beta 90.00
_cell_angle_gamma 90.00
loop_
_atom_site_label
_atom_site_type_symbol
_atom_site_fract_x
_atom_site_fract_y
_atom_site_fract_z
_atom_site_occupancy
Rb1 Rb 0.000 0.000 0.000 1
Mo1 Mo 0.500 0.500 0.500 1
H1 H 0.000 0.000 0.500 1
```

Computed distance to the lowest polymorph of the same formula (kJ/mol of formula units) in order:
32 684
Computed ρ (g/cm³) in order:
3.6 3.1
Computed total magnetic moment (μB/cell) in order:
0.000 4.000